This record from Alexandria via LeMat-Bulk describes DyEr2WO8 after structural relaxation. The functional is PBE+U.

## Properties
The uncorrected energy comes out at -7.92 eV per atom. The calculation puts the total moment at 0.056 μB/atom. The space-group type is No. 65.

```
12
Lattice="3.527 -3.573 0.000 3.527 3.573 0.000 0.000 0.000 6.788" Properties=species:S:1:pos:R:3 pbc="T T T"
Dy 0.000 0.000 0.000
Er 3.527 0.000 1.706
Er 3.527 0.000 5.082
W 0.000 0.000 3.394
O 3.527 2.254 1.948
O 3.527 2.254 4.840
O 1.959 0.000 3.394
O 2.183 0.000 0.000
O 4.871 0.000 0.000
O 5.096 0.000 3.394
O 3.527 -2.254 1.948
O 3.527 -2.254 4.840
```